No. 1
Compound: Ac2NiRu
Source: Alexandria via LeMat-Bulk
Functional: PBE
Structure: relaxed

Cell and atoms, written as CIF:
```
data_Ac2NiRu
_cell_length_a 3.648
_cell_length_b 3.648
_cell_length_c 7.497
_cell_angle_alpha 90.00
_cell_angle_beta 90.00
_cell_angle_gamma 90.00
_space_group_name_H-M_alt 'P 4/m m m'
_space_group_IT_number 123
_space_group_name_Hall '-P 4 2'
loop_
_atom_site_label
_atom_site_type_symbol
_atom_site_fract_x
_atom_site_fract_y
_atom_site_fract_z
Ac1 Ac 0.000 0.000 0.249
Ni1 Ni 0.500 0.500 0.500
Ru1 Ru 0.500 0.500 0.000
```

The value obtained for the volume is 99.8 Å³/f.u. As for the formation energy: -0.0566 eV per atom. Its uncorrected energy is -5.88 eV/atom.

***

No. 2
Compound: PuNpI6
Source: Alexandria via LeMat-Bulk
Functional: PBE
Structure: relaxed

Cell and atoms, written as CIF:
```
data_PuNpI6
_cell_length_a 7.642
_cell_length_b 14.110
_cell_length_c 7.633
_cell_angle_alpha 90.00
_cell_angle_beta 107.73
_cell_angle_gamma 90.00
_space_group_name_H-M_alt 'C 1 2/m 1'
_space_group_IT_number 12
loop_
_space_group_symop_operation_xyz
'x,y,z'
'-x,-y,-z'
'-x,y,-z'
'x,-y,z'
'x+1/2,y+1/2,z'
'-x+1/2,-y+1/2,-z'
'-x+1/2,y+1/2,-z'
'x+1/2,-y+1/2,z'
loop_
_atom_site_label
_atom_site_type_symbol
_atom_site_fract_x
_atom_site_fract_y
_atom_site_fract_z
Pu1 Pu 0.000 0.000 0.000
Np1 Np 0.000 0.500 0.500
I1 I 0.245 0.349 0.749
I2 I 0.249 0.000 0.745
```

The value obtained for the volume is 392.0 Å³/f.u. Its uncorrected energy is -5.52 eV/atom.

***

No. 3
Compound: TeHSe
Source: Alexandria via LeMat-Bulk
Functional: PBE
Structure: relaxed

Cell and atoms, written as CIF:
```
data_TeHSe
_cell_length_a 4.193
_cell_length_b 4.193
_cell_length_c 8.195
_cell_angle_alpha 90.00
_cell_angle_beta 90.00
_cell_angle_gamma 90.00
_space_group_name_H-M_alt 'I 4 m m'
_space_group_IT_number 107
_space_group_name_Hall 'I 4 -2'
loop_
_atom_site_label
_atom_site_type_symbol
_atom_site_fract_x
_atom_site_fract_y
_atom_site_fract_z
Te1 Te 0.000 0.000 0.000
H1 H 0.000 0.000 0.692
Se1 Se 0.000 0.000 0.504
```

As for the energy above the lowest structure with this stoichiometry: 49 meV/atom. The value obtained for the volume is 72.0 Å³/f.u. Its uncorrected energy is -3.22 eV/atom.

***

No. 4
Compound: K2TmU3O12
Source: Alexandria via LeMat-Bulk
Functional: PBE
Structure: relaxed

Cell and atoms, written as CIF:
```
data_K2TmU3O12
_cell_length_a 8.0917
_cell_length_b 8.0917
_cell_length_c 18.8543
_cell_angle_alpha 90.00
_cell_angle_beta 90.00
_cell_angle_gamma 120.00
_space_group_name_H-M_alt 'R -3 m'
_space_group_IT_number 166
_space_group_name_Hall '-R 3 2"'
loop_
_atom_site_label
_atom_site_type_symbol
_atom_site_fract_x
_atom_site_fract_y
_atom_site_fract_z
K1 K 0.0000 0.0000 0.1710
Tm1 Tm 0.0000 0.0000 0.5000
U1 U 0.0000 0.5000 0.0000
O1 O 0.0682 0.5341 0.1016
O2 O 0.0904 0.5452 0.3555
```

The value obtained for the volume is 356.4 Å³/f.u. Its uncorrected energy is -8.44 eV/atom.